(1)
A plane-wave DFT calculation with PBE-GGA was carried out for a relaxed structure of ZrTlCo2.

Lattice parameters (Å, degrees): 3.798 3.707 9.484 90.00 90.00 90.00
Element x y z (fractional)
Zr1 0.000 0.000 0.000
Zr2 0.000 0.500 0.500
Tl1 0.500 0.000 0.290
Tl2 0.500 0.500 0.790
Co1 0.000 0.000 0.707
Co2 0.000 0.500 0.207
Co3 0.500 0.000 0.568
Co4 0.500 0.500 0.068

energy relative to the elements = 0.05 eV/atom
V = 16.69 Å³ per atom
ΔE to the lowest computed polymorph = 70.4 meV per atom
space-group type = No. 38

---

(2)
A plane-wave DFT calculation with PBE-GGA was carried out for a relaxed structure of ZrTlCo2.

Lattice parameters (Å, degrees): 6.941 6.941 5.868 90.00 90.00 90.00
Element x y z (fractional)
Zr1 0.000 0.000 0.000
Zr2 0.000 0.500 0.250
Zr3 0.500 0.000 0.750
Zr4 0.500 0.500 0.500
Tl1 0.000 0.000 0.500
Tl2 0.000 0.500 0.750
Tl3 0.500 0.000 0.250
Tl4 0.500 0.500 0.000
Co1 0.233 0.750 0.125
Co2 0.250 0.233 0.875
Co3 0.250 0.267 0.375
Co4 0.267 0.750 0.625
Co5 0.733 0.250 0.625
Co6 0.750 0.733 0.375
Co7 0.750 0.767 0.875
Co8 0.767 0.250 0.125

energy relative to the elements = 0.50 eV/atom
V = 17.67 Å³ per atom
ΔE to the lowest computed polymorph = 525.4 meV per atom
space-group type = No. 122

---

(3)
A plane-wave DFT calculation with PBE-GGA was carried out for a relaxed structure of Zr2TlCo2.

Lattice parameters (Å, degrees): 3.373 3.373 16.748 90.00 90.00 90.00
Element x y z (fractional)
Zr1 0.000 0.000 0.132
Zr2 0.000 0.000 0.868
Zr3 0.500 0.500 0.368
Zr4 0.500 0.500 0.632
Tl1 0.000 0.000 0.500
Tl2 0.500 0.500 0.000
Co1 0.000 0.500 0.250
Co2 0.000 0.500 0.750
Co3 0.500 0.000 0.250
Co4 0.500 0.000 0.750

energy relative to the elements = 0.04 eV/atom
V = 19.05 Å³ per atom
space-group type = No. 139

---

(4)
A plane-wave DFT calculation with PBE-GGA was carried out for a relaxed structure of Zr8TlCo2.

Lattice parameters (Å, degrees): 7.365 7.365 5.061 97.56 97.56 116.97
Element x y z (fractional)
Zr1 0.090 0.090 0.808
Zr2 0.167 0.413 0.441
Zr3 0.246 0.754 0.000
Zr4 0.413 0.167 0.441
Zr5 0.587 0.833 0.559
Zr6 0.754 0.246 0.000
Zr7 0.833 0.587 0.559
Zr8 0.910 0.910 0.192
Tl1 0.500 0.500 0.000
Co1 0.208 0.792 0.500
Co2 0.792 0.208 0.500

energy relative to the elements = -0.06 eV/atom
V = 21.52 Å³ per atom
space-group type = No. 12

---

(5)
A plane-wave DFT calculation with PBE-GGA was carried out for a relaxed structure of ZrTlCo2.

Lattice parameters (Å, degrees): 3.137 3.137 6.896 90.00 90.00 90.00
Element x y z (fractional)
Zr1 0.000 0.000 0.000
Tl1 0.500 0.500 0.653
Co1 0.000 0.000 0.386
Co2 0.500 0.500 0.240

energy relative to the elements = 0.13 eV/atom
V = 16.97 Å³ per atom
ΔE to the lowest computed polymorph = 151.0 meV per atom
space-group type = No. 99

---

(6)
A plane-wave DFT calculation with PBE-GGA was carried out for a relaxed structure of Zr5Tl2Co.

Lattice parameters (Å, degrees): 7.296 11.405 4.256 90.00 90.00 90.00
Element x y z (fractional)
Zr1 0.000 0.000 0.000
Zr2 0.130 0.300 0.000
Zr3 0.185 0.562 0.500
Zr4 0.315 0.062 0.500
Zr5 0.370 0.800 0.000
Zr6 0.500 0.500 0.000
Zr7 0.630 0.200 0.000
Zr8 0.685 0.938 0.500
Zr9 0.815 0.438 0.500
Zr10 0.870 0.700 0.000
Tl1 0.083 0.826 0.500
Tl2 0.417 0.326 0.500
Tl3 0.583 0.674 0.500
Tl4 0.917 0.174 0.500
Co1 0.000 0.500 0.000
Co2 0.500 0.000 0.000

energy relative to the elements = -0.10 eV/atom
V = 22.13 Å³ per atom
space-group type = No. 55